Record 1
{"formula": "BaMgCd", "functional": "GGA-PBE", "state": "relaxed", "lattice": [[-1.524, 0.191, 4.638], [-1.705, -4.563, -0.372], [7.699, -3.094, 2.657]], "species": ["Ba", "Ba", "Mg", "Mg", "Cd", "Cd"], "fractional_positions": [[0.000, 0.500, 0.837], [0.500, 0.000, 0.163], [0.500, 0.500, 0.500], [0.000, 0.000, 0.500], [0.000, 0.500, 0.291], [0.500, 0.000, 0.709]], "crystal_system": "tetragonal", "sg": "P4/nmm", "formation_energy_ev_per_fu": -0.7, "final_energy_ev_per_atom": -1.71, "magnetic_moment_mub_per_atom": 0.000}

Record 2
{"formula": "TaTi2GaRe", "functional": "GGA-PBE", "state": "relaxed", "lattice": [[4.776, 0.000, 0.000], [0.000, 4.773, 0.000], [0.000, 0.000, 4.776]], "species": ["Re", "Ti", "Ti", "Ga", "Ta"], "fractional_positions": [[0.000, 0.500, 0.000], [0.000, 0.000, 0.500], [0.500, 0.000, 0.000], [0.500, 0.500, 0.500], [0.000, 0.000, 0.000]], "crystal_system": "tetragonal", "sg": "P4/mmm", "formation_energy_ev_per_fu": 6.7, "final_energy_ev_per_atom": -7.28, "magnetic_moment_mub_per_atom": 0.000}

Record 3
{"formula": "K5AgO", "functional": "GGA-PBE", "state": "relaxed", "lattice": [[7.958, 0.897, 1.752], [1.722, 7.822, 1.752], [1.308, 1.178, 10.739]], "species": ["K", "K", "K", "K", "K", "K", "K", "K", "K", "K", "Ag", "Ag", "O", "O"], "fractional_positions": [[0.254, 0.172, 0.886], [0.308, 0.755, 0.523], [0.172, 0.254, 0.386], [0.944, 0.056, 0.750], [0.245, 0.692, 0.977], [0.755, 0.308, 0.023], [0.056, 0.944, 0.250], [0.828, 0.746, 0.614], [0.692, 0.245, 0.477], [0.746, 0.828, 0.114], [0.563, 0.437, 0.750], [0.437, 0.563, 0.250], [0.000, 0.000, 0.000], [0.000, 0.000, 0.500]], "crystal_system": "monoclinic", "sg": "C2/c", "formation_energy_uncorrected_ev_per_atom": -0.418, "final_energy_ev_per_atom": -2.32, "magnetic_moment_mub_per_atom": 0.000}

Record 4
{"formula": "Dy2UPaAs4", "functional": "GGA-PBE", "state": "relaxed", "lattice": [[4.092, 0.000, 0.000], [0.000, 7.079, 0.118], [0.000, -2.479, 6.716]], "species": ["Dy", "Dy", "U", "Pa", "As", "As", "As", "As"], "fractional_positions": [[0.500, 0.000, 0.500], [0.000, 0.500, 0.500], [0.000, 0.000, 0.000], [0.500, 0.500, 0.000], [0.500, 0.250, 0.249], [0.500, 0.750, 0.751], [0.000, 0.251, 0.751], [0.000, 0.749, 0.249]], "crystal_system": "monoclinic", "sg": "P2/m", "formation_energy_ev_per_fu": -9.6, "final_energy_ev_per_atom": -7.28, "magnetic_moment_mub_per_atom": 0.410}

Record 5
{"formula": "MnBeCr2", "functional": "GGA-PBE", "state": "relaxed", "lattice": [[-0.149, -2.333, 0.608], [2.319, 0.027, 0.674], [-1.997, 1.899, 6.792]], "species": ["Cr", "Cr", "Mn", "Be"], "fractional_positions": [[0.000, 0.000, 0.981], [0.000, 0.000, 0.519], [0.500, 0.500, 0.250], [0.500, 0.500, 0.750]], "crystal_system": "tetragonal", "sg": "P4/mmm", "formation_energy_ev_per_fu": 0.5, "final_energy_ev_per_atom": -7.90, "magnetic_moment_mub_per_atom": 0.398}

Record 6
{"formula": "NaCdH", "functional": "GGA-PBE", "state": "relaxed", "lattice": [[5.442, 0.000, 0.000], [0.000, 3.446, 0.000], [0.000, -1.723, 2.985]], "species": ["Na", "H", "Cd"], "fractional_positions": [[0.759, 0.667, 0.333], [0.969, 0.000, 0.000], [0.273, 0.333, 0.667]], "crystal_system": "trigonal", "sg": "P3m1", "final_energy_ev_per_atom": -1.80, "magnetic_moment_mub_per_atom": 0.000}

Record 7
{"formula": "TbHfRe4", "functional": "GGA-PBE", "state": "relaxed", "lattice": [[-0.434, 3.861, 3.687], [2.809, -0.314, 4.549], [4.087, 3.353, 0.860]], "species": ["Re", "Re", "Re", "Re", "Tb", "Hf"], "fractional_positions": [[0.625, 0.625, 0.124], [0.625, 0.124, 0.625], [0.625, 0.625, 0.625], [0.124, 0.625, 0.625], [0.250, 0.250, 0.250], [0.000, 0.000, 0.000]], "crystal_system": "cubic", "sg": "F-43m", "formation_energy_ev_per_fu": -1.3, "final_energy_ev_per_atom": -10.94, "magnetic_moment_mub_per_atom": 0.000}

Record 8
{"formula": "NaIBrO2", "functional": "GGA-PBE", "state": "relaxed", "lattice": [[4.021, 0.000, 0.000], [0.000, 4.021, 0.000], [0.000, 0.000, 7.930]], "species": ["I", "Na", "O", "O", "Br"], "fractional_positions": [[0.000, 0.000, 0.500], [0.500, 0.500, 0.500], [0.000, 0.500, 0.000], [0.500, 0.000, 0.000], [0.000, 0.000, 0.000]], "relative_energy_mev_per_atom": 0, "crystal_system": "tetragonal", "sg": "P4/mmm", "formation_energy_uncorrected_ev_per_atom": 0.073, "final_energy_ev_per_atom": -2.82, "magnetic_moment_mub_per_atom": 0.000}

Record 9
{"formula": "Nd2Sm6Er5", "functional": "GGA-PBE", "state": "relaxed", "lattice": [[-2.277, 1.790, 2.175], [-2.741, -10.079, 5.427], [15.099, 3.052, 13.294]], "species": ["Nd", "Nd", "Nd", "Nd", "Sm", "Sm", "Sm", "Sm", "Sm", "Sm", "Sm", "Sm", "Sm", "Sm", "Sm", "Sm", "Er", "Er", "Er", "Er", "Er", "Er", "Er", "Er", "Er", "Er"], "fractional_positions": [[0.000, 0.334, 0.284], [0.000, 0.666, 0.716], [0.000, 0.834, 0.216], [0.000, 0.166, 0.784], [0.000, 0.080, 0.365], [0.000, 0.920, 0.635], [0.000, 0.580, 0.135], [0.000, 0.420, 0.865], [0.500, 0.323, 0.127], [0.500, 0.677, 0.873], [0.500, 0.823, 0.373], [0.500, 0.177, 0.627], [0.000, 0.559, 0.422], [0.000, 0.441, 0.578], [0.000, 0.059, 0.078], [0.000, 0.941, 0.922], [0.500, 0.301, 0.446], [0.500, 0.699, 0.554], [0.500, 0.801, 0.054], [0.500, 0.199, 0.946], [0.500, 0.594, 0.278], [0.500, 0.406, 0.722], [0.500, 0.094, 0.222], [0.500, 0.906, 0.778], [0.500, 0.500, 0.000], [0.500, 0.000, 0.500]], "crystal_system": "orthorhombic", "sg": "Pbam", "formation_energy_ev_per_fu": 1.3, "final_energy_ev_per_atom": -4.57, "magnetic_moment_mub_per_atom": 0.000}

Record 10
{"formula": "CePr2Np2Ru5", "functional": "GGA-PBE", "state": "relaxed", "lattice": [[3.803, 0.000, 0.000], [0.000, 10.481, 0.000], [0.000, 0.000, 10.481]], "species": ["Ce", "Ce", "Pr", "Pr", "Pr", "Pr", "Np", "Np", "Np", "Np", "Ru", "Ru", "Ru", "Ru", "Ru", "Ru", "Ru", "Ru", "Ru", "Ru"], "fractional_positions": [[0.000, 0.000, 0.000], [0.000, 0.500, 0.500], [0.000, 0.674, 0.174], [0.000, 0.326, 0.826], [0.000, 0.174, 0.326], [0.000, 0.826, 0.674], [0.000, 0.131, 0.631], [0.000, 0.869, 0.369], [0.000, 0.631, 0.869], [0.000, 0.369, 0.131], [0.500, 0.209, 0.063], [0.500, 0.791, 0.937], [0.500, 0.063, 0.791], [0.500, 0.709, 0.437], [0.500, 0.937, 0.209], [0.500, 0.291, 0.563], [0.500, 0.563, 0.709], [0.500, 0.437, 0.291], [0.500, 0.500, 0.000], [0.500, 0.000, 0.500]], "crystal_system": "tetragonal", "sg": "P4/mbm", "formation_energy_ev_per_fu": -0.8, "final_energy_ev_per_atom": -8.86, "magnetic_moment_mub_per_atom": 0.471}

Record 11
{"formula": "CsPmRe2O7", "functional": "GGA-PBE", "state": "relaxed", "lattice": [[3.963, 0.000, 0.000], [0.000, 3.963, 0.000], [0.000, 0.000, 10.819]], "species": ["Cs", "Pm", "Re", "Re", "O", "O", "O", "O", "O", "O", "O"], "fractional_positions": [[0.000, 0.000, 0.500], [0.000, 0.000, 0.000], [0.500, 0.500, 0.186], [0.500, 0.500, 0.814], [0.500, 0.500, 0.649], [0.000, 0.500, 0.157], [0.500, 0.000, 0.157], [0.000, 0.500, 0.843], [0.500, 0.000, 0.843], [0.500, 0.500, 0.351], [0.500, 0.500, 0.000]], "crystal_system": "tetragonal", "sg": "P4/mmm", "formation_energy_uncorrected_ev_per_atom": -1.910, "final_energy_ev_per_atom": -7.84, "magnetic_moment_mub_per_atom": 0.000}

Record 12
{"formula": "CeSn2Pd8", "functional": "GGA-PBE", "state": "relaxed", "lattice": [[-3.316, -3.634, 0.501], [2.156, -7.137, 0.019], [1.774, -3.342, 6.258]], "species": ["Ce", "Sn", "Sn", "Pd", "Pd", "Pd", "Pd", "Pd", "Pd", "Pd", "Pd"], "fractional_positions": [[0.500, 0.000, 0.000], [0.000, 0.309, 0.382], [0.000, 0.691, 0.618], [0.861, 0.094, 0.237], [0.861, 0.331, 0.763], [0.313, 0.414, 0.000], [0.500, 0.784, 0.432], [0.500, 0.216, 0.568], [0.687, 0.586, 0.000], [0.139, 0.669, 0.237], [0.139, 0.906, 0.763]], "crystal_system": "monoclinic", "sg": "C2/m", "formation_energy_ev_per_fu": -5.3, "final_energy_ev_per_atom": -5.53, "magnetic_moment_mub_per_atom": 0.016}

Record 13
{"formula": "BaY2Ta", "functional": "GGA-PBE", "state": "relaxed", "lattice": [[6.004, 0.001, 0.000], [-1.943, 5.681, 0.000], [0.000, 0.000, 3.440]], "species": ["Ba", "Ta", "Y", "Y"], "fractional_positions": [[0.500, 0.000, 0.500], [0.000, 0.500, 0.500], [0.000, 0.000, 0.000], [0.500, 0.500, 0.000]], "relative_energy_mev_per_atom": 342, "crystal_system": "orthorhombic", "sg": "Cmmm", "formation_energy_ev_per_fu": 2.9, "final_energy_ev_per_atom": -5.95, "magnetic_moment_mub_per_atom": 0.000}

Record 14
{"formula": "Na2Ag2As3", "functional": "GGA-PBE", "state": "relaxed", "lattice": [[4.474, 0.000, 0.000], [-2.237, 5.465, -0.193], [0.000, -3.105, 6.384]], "species": ["Na", "Na", "Ag", "Ag", "As", "As", "As"], "fractional_positions": [[0.835, 0.670, 0.217], [0.165, 0.330, 0.783], [0.875, 0.751, 0.749], [0.125, 0.249, 0.251], [0.500, 0.000, 0.000], [0.597, 0.193, 0.455], [0.403, 0.807, 0.545]], "crystal_system": "monoclinic", "sg": "C2/m", "formation_energy_ev_per_fu": -1.0, "final_energy_ev_per_atom": -3.32, "magnetic_moment_mub_per_atom": 0.000}

Record 15
{"formula": "Zr6In2HO", "functional": "GGA-PBE", "state": "relaxed", "lattice": [[-2.595, -4.332, 3.893], [5.772, -1.347, 2.349], [-1.100, 6.368, 6.353]], "species": ["Zr", "Zr", "Zr", "Zr", "Zr", "Zr", "Zr", "Zr", "Zr", "Zr", "Zr", "Zr", "In", "In", "In", "In", "H", "H", "O", "O"], "fractional_positions": [[0.500, 0.250, 0.254], [0.500, 0.250, 0.746], [0.000, 0.750, 0.246], [0.000, 0.750, 0.754], [0.255, 0.005, 0.500], [0.745, 0.005, 0.500], [0.255, 0.495, 0.500], [0.745, 0.495, 0.500], [0.755, 0.505, 0.000], [0.245, 0.505, 0.000], [0.245, 0.995, 0.000], [0.755, 0.995, 0.000], [0.500, 0.750, 0.250], [0.000, 0.250, 0.750], [0.500, 0.750, 0.750], [0.000, 0.250, 0.250], [0.500, 0.250, 0.500], [0.000, 0.750, 0.000], [0.000, 0.750, 0.500], [0.500, 0.250, 0.000]], "crystal_system": "tetragonal", "sg": "I4/mmm", "final_energy_ev_per_atom": -7.29, "magnetic_moment_mub_per_atom": 0.000}

Record 16
{"formula": "HoHfFeCu", "functional": "GGA-PBE", "state": "relaxed", "lattice": [[-4.142, -1.578, 1.368], [-0.314, -4.046, 2.245], [-1.080, -0.072, 4.510]], "species": ["Hf", "Ho", "Cu", "Fe"], "fractional_positions": [[0.500, 0.500, 0.500], [0.000, 0.000, 0.000], [0.250, 0.250, 0.250], [0.750, 0.750, 0.750]], "crystal_system": "cubic", "sg": "F-43m", "formation_energy_ev_per_fu": -0.3, "final_energy_ev_per_atom": -6.84, "magnetic_moment_mub_per_atom": 0.131}

Record 17
{"formula": "KTiIn2", "functional": "GGA-PBE", "state": "relaxed", "lattice": [[-3.512, -3.459, -2.725], [2.893, 0.815, -4.763], [5.464, -8.922, -1.538]], "species": ["K", "K", "Ti", "Ti", "In", "In", "In", "In"], "fractional_positions": [[0.500, 0.500, 0.000], [0.250, 0.750, 0.500], [0.000, 0.000, 0.000], [0.750, 0.250, 0.500], [0.795, 0.125, 0.250], [0.955, 0.625, 0.250], [0.375, 0.205, 0.750], [0.875, 0.045, 0.750]], "relative_energy_mev_per_atom": 149, "crystal_system": "tetragonal", "sg": "I-42d", "formation_energy_ev_per_fu": 2.1, "final_energy_ev_per_atom": -3.08, "magnetic_moment_mub_per_atom": 0.630}

Record 18
{"formula": "ScWS2Cl", "functional": "GGA-PBE", "state": "relaxed", "lattice": [[-2.726, 4.127, 0.516], [-0.562, -0.977, 4.844], [3.872, 2.440, 0.941]], "species": ["Sc", "S", "S", "W", "Cl"], "fractional_positions": [[0.000, 0.000, 0.000], [0.000, 0.500, 0.000], [0.500, 0.000, 0.000], [0.500, 0.500, 0.500], [0.000, 0.000, 0.500]], "relative_energy_mev_per_atom": 341, "crystal_system": "tetragonal", "sg": "P4/mmm", "formation_energy_uncorrected_ev_per_atom": 0.200, "final_energy_ev_per_atom": -5.68, "magnetic_moment_mub_per_atom": 0.800}

Record 19
{"formula": "Mg2NiPd2", "functional": "GGA-PBE", "state": "relaxed", "lattice": [[-5.938, -1.594, 2.345], [2.467, -0.222, 6.096], [-0.812, 3.706, 0.463]], "species": ["Ni", "Ni", "Mg", "Mg", "Mg", "Mg", "Pd", "Pd", "Pd", "Pd"], "fractional_positions": [[0.000, 0.000, 0.000], [0.500, 0.500, 0.000], [0.167, 0.667, 0.500], [0.667, 0.833, 0.500], [0.833, 0.333, 0.500], [0.333, 0.167, 0.500], [0.359, 0.859, 0.000], [0.859, 0.641, 0.000], [0.641, 0.141, 0.000], [0.141, 0.359, 0.000]], "relative_energy_mev_per_atom": 0, "crystal_system": "tetragonal", "sg": "P4/mbm", "formation_energy_ev_per_fu": -1.8, "final_energy_ev_per_atom": -4.22, "magnetic_moment_mub_per_atom": 0.001}

Record 20
{"formula": "KNiSb2", "functional": "GGA-PBE", "state": "relaxed", "lattice": [[4.582, 0.000, 0.000], [0.000, 4.584, 0.000], [0.000, 0.000, 4.588]], "species": ["K", "Ni", "Sb", "Sb"], "fractional_positions": [[0.500, 0.000, 0.500], [0.000, 0.500, 0.500], [0.000, 0.000, 0.000], [0.500, 0.500, 0.000]], "relative_energy_mev_per_atom": 625, "crystal_system": "tetragonal", "sg": "P4/mmm", "formation_energy_uncorrected_ev_per_atom": 0.333, "final_energy_ev_per_atom": -3.45, "magnetic_moment_mub_per_atom": 0.000}

Record 21
{"formula": "Ag2Te2Pd3", "functional": "GGA-PBE", "state": "relaxed", "lattice": [[3.837, 0.000, 0.000], [-1.918, 5.556, 0.150], [0.000, -2.385, 6.390]], "species": ["Ag", "Ag", "Te", "Te", "Pd", "Pd", "Pd"], "fractional_positions": [[0.924, 0.849, 0.286], [0.076, 0.151, 0.714], [0.820, 0.640, 0.814], [0.180, 0.360, 0.186], [0.500, 0.000, 0.000], [0.634, 0.269, 0.444], [0.366, 0.731, 0.556]], "crystal_system": "monoclinic", "sg": "C2/m", "formation_energy_uncorrected_ev_per_atom": -0.170, "final_energy_ev_per_atom": -4.11, "magnetic_moment_mub_per_atom": 0.000}

Record 22
{"formula": "TiInNi6", "functional": "GGA-PBE", "state": "relaxed", "lattice": [[6.362, 0.007, 0.000], [-2.127, 5.996, 0.000], [0.000, 0.000, 10.403]], "species": ["Ti", "Ti", "Ti", "Ti", "In", "In", "In", "In", "Ni", "Ni", "Ni", "Ni", "Ni", "Ni", "Ni", "Ni", "Ni", "Ni", "Ni", "Ni", "Ni", "Ni", "Ni", "Ni", "Ni", "Ni", "Ni", "Ni", "Ni", "Ni", "Ni", "Ni"], "fractional_positions": [[0.752, 0.248, 0.500], [0.248, 0.752, 0.500], [0.000, 0.000, 0.749], [0.000, 0.000, 0.251], [0.748, 0.252, 0.000], [0.252, 0.748, 0.000], [0.500, 0.500, 0.748], [0.500, 0.500, 0.252], [0.755, 0.245, 0.742], [0.120, 0.366, 0.870], [0.880, 0.634, 0.870], [0.245, 0.755, 0.742], [0.634, 0.880, 0.870], [0.366, 0.120, 0.870], [0.500, 0.500, 0.500], [0.882, 0.628, 0.621], [0.628, 0.882, 0.621], [0.755, 0.245, 0.258], [0.118, 0.372, 0.379], [0.882, 0.628, 0.379], [0.245, 0.755, 0.258], [0.628, 0.882, 0.379], [0.372, 0.118, 0.379], [0.500, 0.500, 0.000], [0.880, 0.634, 0.130], [0.634, 0.880, 0.130], [0.000, 0.000, 0.500], [0.372, 0.118, 0.621], [0.118, 0.372, 0.621], [0.000, 0.000, 0.000], [0.366, 0.120, 0.130], [0.120, 0.366, 0.130]], "relative_energy_mev_per_atom": 0, "crystal_system": "orthorhombic", "sg": "Cmmm", "formation_energy_ev_per_fu": -2.1, "final_energy_ev_per_atom": -5.93, "magnetic_moment_mub_per_atom": 0.000}

Record 23
{"formula": "Be2FeBr", "functional": "GGA-PBE", "state": "relaxed", "lattice": [[-4.220, 0.713, 0.090], [0.914, -3.375, 2.469], [0.347, 1.766, 2.286]], "species": ["Be", "Be", "Fe", "Br"], "fractional_positions": [[0.000, 0.000, 0.000], [0.500, 0.500, 0.000], [0.000, 0.500, 0.500], [0.500, 0.000, 0.500]], "relative_energy_mev_per_atom": 450, "crystal_system": "orthorhombic", "sg": "Cmmm", "formation_energy_uncorrected_ev_per_atom": 0.719, "final_energy_ev_per_atom": -3.68, "magnetic_moment_mub_per_atom": 0.455}